A geometry-optimized VIn2IF structure. Source: Alexandria via LeMat-Bulk, functional PBE+U.

Computed properties:
Electronic total energy (eV per cell): -14.94
SG: No. 123

abc: 4.774 6.067 4.774
angles: 90.00 90.00 90.00
Fractional positions:
In1 0.500 0.000 0.000
In2 0.000 0.000 0.500
V1 0.500 0.500 0.500
F1 0.000 0.000 0.000
I1 0.000 0.500 0.000